CaAlZn4Ag2: optimized geometry, PBE-GGA.

Summary:
**Final energy**: -2.129 eV/atom
**Space group**: R-3m

Cell lengths 9.4457, 9.4457, 9.4457 Å; angles 26.96, 26.96, 26.96 degrees
With the nearest neighbours (Å) after each atom.
Element x y z (fractional)
Ca  0.0000  0.0000  0.0000  8 Zn 3.12-3.45
Al  0.5000  0.5000  0.5000  8 Zn 2.74-2.77
Zn  0.1264  0.1264  0.1264  3 Ag 2.71, 3 Al 2.77, 3 Zn 3.03
Zn  0.3997  0.3997  0.3997  3 Ag 2.64, 1 Al 2.74
Zn  0.6003  0.6003  0.6003  3 Ag 2.64, 1 Al 2.74
Zn  0.8736  0.8736  0.8736  3 Ag 2.71, 3 Al 2.77, 3 Zn 3.03
Ag  0.2412  0.2412  0.2412  6 Zn 2.64-2.71
Ag  0.7588  0.7588  0.7588  6 Zn 2.64-2.71

KSrRu3: optimized geometry, PBE-GGA.

Summary:
**Final energy**: -3.810 eV/atom
**Space group**: Pm-3m

Cell lengths 4.9287, 4.9287, 4.9287 Å; angles 90.00, 90.00, 90.00 degrees
With the nearest neighbours (Å) after each atom.
Element x y z (fractional)
K  0.0000  0.0000  0.0000  6 Ru 2.46
Sr  0.5000  0.5000  0.5000  12 Ru 3.49
Ru  0.0000  0.0000  0.5000  2 K 2.46
Ru  0.0000  0.5000  0.0000  2 K 2.46
Ru  0.5000  0.0000  0.0000  2 K 2.46

Sn2Sb2I: optimized geometry, PBE-GGA.

Summary:
**Formation energy without anion corrections**: -0.0526 eV/atom
**Distance to the lowest polymorph of the same formula**: 0 meV per atom
**Space group**: I4/mmm

Cell lengths 8.4570, 8.4570, 8.4570 Å; angles 148.34, 148.34, 45.38 degrees
With the nearest neighbours (Å) after each atom.
Element x y z (fractional)
Sn  0.1121  0.1121  0.0000  4 Sb 3.15, 1 Sn 3.50
Sn  0.8879  0.8879  0.0000  4 Sb 3.15, 1 Sn 3.50
Sb  0.2500  0.7500  0.5000  4 Sn 3.15, 4 Sb 3.26
Sb  0.7500  0.2500  0.5000  4 Sn 3.15, 4 Sb 3.26
I  0.5000  0.5000  0.0000  8 Sn 3.70

Sm4Te2AuBr: optimized geometry, PBE-GGA.

Summary:
**Formation energy without anion corrections**: -1.1807 eV/atom
**Space group**: P2/m

Cell lengths 7.6166, 4.2124, 7.7170 Å; angles 90.00, 107.81, 90.00 degrees
With the nearest neighbours (Å) after each atom.
Element x y z (fractional)
Sm  0.2295  0.0000  0.2296  2 Au 2.96, 1 Br 3.10, 3 Te 3.10-3.23
Sm  0.2400  0.5000  0.7577  1 Au 2.99, 3 Te 3.08-3.21, 2 Br 3.10
Sm  0.7600  0.5000  0.2423  1 Au 2.99, 3 Te 3.08-3.21, 2 Br 3.10
Sm  0.7705  0.0000  0.7704  2 Au 2.96, 1 Br 3.10, 3 Te 3.10-3.23
Te  0.0000  0.0000  0.5000  6 Sm 3.08-3.10
Te  0.5000  0.5000  0.5000  6 Sm 3.21-3.23
Au  0.0000  0.5000  0.0000  6 Sm 2.96-2.99
Br  0.5000  0.0000  0.0000  6 Sm 3.10

CaGdMg4: optimized geometry, PBE-GGA.

Summary:
**Final energy**: -3.833 eV/atom
**Space group**: F-43m

Cell lengths 6.1345, 6.1345, 6.1345 Å; angles 60.00, 60.00, 60.00 degrees
With the nearest neighbours (Å) after each atom.
Element x y z (fractional)
Ca  0.0000  0.0000  0.0000  12 Mg 3.60, 4 Gd 3.76
Gd  0.2500  0.2500  0.2500  12 Mg 3.59, 4 Ca 3.76
Mg  0.1271  0.6243  0.6243  6 Mg 3.05-3.08
Mg  0.6243  0.1271  0.6243  6 Mg 3.05-3.08
Mg  0.6243  0.6243  0.1271  6 Mg 3.05-3.08
Mg  0.6243  0.6243  0.6243  6 Mg 3.05-3.08

Ba2CdP: optimized geometry, PBE-GGA.

Summary:
**Distance to the lowest polymorph of the same formula**: 15 meV per atom
**Space group**: R-3m

Cell lengths 9.1167, 9.1167, 9.1167 Å; angles 29.79, 29.79, 29.79 degrees
With the nearest neighbours (Å) after each atom.
Element x y z (fractional)
Ba  0.2319  0.2319  0.2319  3 P 3.20
Ba  0.7681  0.7681  0.7681  3 P 3.20
Cd  0.0000  0.0000  0.0000  6 Ba 3.79
P  0.5000  0.5000  0.5000  6 Ba 3.20

Number 1: N(E_F) 2.79 states/eV/f.u., ρ 5.917 g/cm3. Number 2: N(E_F) 8.26 states/eV/f.u., ρ 5.963 g/cm3. Number 3: N(E_F) 1.46 states/eV/f.u., ρ 6.078 g/cm3. Number 4: N(E_F) 2.69 states/eV/f.u., ρ 7.985 g/cm3. Number 5: N(E_F) 6.47 states/eV/f.u., ρ 2.996 g/cm3. Number 6: N(E_F) 2.30 states/eV/f.u., ρ 4.191 g/cm3.